No. 1
First-principles (PBE-GGA) data for a relaxed structure of Ce6Ag2Sn, as listed in the Alexandria database.

The structure belongs to space group C2/m (No. 12); the cell edges are 12.8068, 7.1487 and 5.7205 Å and the angles 90.00°, 107.95° and 90.00°. The inequivalent atoms are Ce at (0.0000, 0.2041, 0.0000), Ce at (0.1763, 0.2997, 0.7816), Ag at (0.1611, 0.5000, 0.2908) and Sn at (0.0000, 0.0000, 0.5000).

The calculation puts the formation energy at 0.060 eV per atom. The density of states at the Fermi level comes out at 22.9 states/eV/f.u.

=====

No. 2
First-principles (PBE-GGA) data for a relaxed structure of Ce2AgSn, as listed in the Alexandria database.

The structure belongs to space group Imma (No. 74); the cell edges are 6.3899, 8.8308 and 7.3726 Å and the angles 90.00°, 90.00° and 90.00°. The inequivalent atoms are Ce at (0.2500, 0.0298, 0.2500), Ag at (0.0000, 0.2500, 0.5465) and Sn at (0.0000, 0.2500, 0.9583).

The calculation puts the formation energy at -0.365 eV per atom. The density of states at the Fermi level comes out at 11.5 states/eV/f.u.